The following is a GGA+U calculation of crystalline SbMoPbO6 at its relaxed geometry, from the Alexandria database.

## Properties
Volume (Å³ per atom): 15.10
DFT total energy (eV per atom): -6.45

a b c (Å): 5.415 5.415 10.702
angles (deg): 90.00 90.00 120.00
Sites, in units of the cell vectors:
Sb 0.333 0.667 0.250
Sb 0.667 0.333 0.750
Mo 0.333 0.667 0.750
Mo 0.667 0.333 0.250
Pb 0.000 0.000 0.000
Pb 0.000 0.000 0.500
O 0.001 0.388 0.646
O 0.001 0.613 0.854
O 0.387 0.388 0.854
O 0.387 0.999 0.646
O 0.388 0.001 0.146
O 0.388 0.387 0.354
O 0.612 0.613 0.646
O 0.612 0.999 0.854
O 0.613 0.001 0.354
O 0.613 0.612 0.146
O 0.999 0.387 0.146
O 0.999 0.612 0.354